Here is CsTl4Sb4 after structural relaxation from the Alexandria database. Energies are from PBE-GGA.

Structure (extended XYZ):
```
18
Lattice="6.746 0.000 0.000 0.000 10.295 0.000 0.000 0.000 10.295" Properties=species:S:1:pos:R:3 pbc="T T T"
Tl 5.827 3.774 1.383
Tl 4.293 8.922 6.531
Tl 0.920 1.383 6.521
Tl 4.293 1.374 3.764
Tl 2.453 3.764 8.922
Tl 0.920 8.912 3.774
Tl 5.827 6.521 8.912
Tl 2.453 6.531 1.374
Sb 4.116 1.757 7.017
Sb 6.003 3.391 8.426
Sb 2.630 7.017 8.538
Sb 6.003 6.905 1.869
Sb 4.116 8.538 3.278
Sb 0.743 8.426 6.905
Sb 0.743 1.869 3.391
Sb 2.630 3.278 1.757
Cs 3.373 5.148 5.148
Cs 0.000 0.000 0.000
```

Properties
SG: P4_2/n (86)
energy relative to the elements, uncorrected: -44 meV/atom

---

Here is TaCoRe after structural relaxation from the Alexandria database. Energies are from PBE-GGA.

Structure (extended XYZ):
```
3
Lattice="6.248 0.013 -0.013 5.624 2.648 0.010 0.624 -0.026 2.635" Properties=species:S:1:pos:R:3 pbc="T T T"
Re 4.566 0.916 1.710
Ta 8.039 1.745 0.896
Co 11.764 2.635 0.023
```

Properties
formation enthalpy at 0 K: -49 meV per atom
SG: Fmm2 (42)

---

Here is AlVCo3 after structural relaxation from the Alexandria database. Energies are from PBE-GGA.

Structure (extended XYZ):
```
5
Lattice="-3.141 0.618 -2.687 -2.752 -0.465 3.111 0.161 4.107 0.756" Properties=species:S:1:pos:R:3 pbc="T T T"
Co -1.376 -0.232 1.555
Co 0.081 2.054 0.378
Co -1.570 0.309 -1.343
Al -2.866 2.130 0.590
V 0.000 0.000 0.000
```

Properties
formation enthalpy at 0 K: 884 meV per atom
SG: Pm-3m (221)

---

Here is CsBaAl2Br8 after structural relaxation from the Alexandria database. Energies are from PBE-GGA.

Structure (extended XYZ):
```
12
Lattice="-0.932 2.301 6.892 -0.335 -4.860 5.470 9.985 -0.224 5.317" Properties=species:S:1:pos:R:3 pbc="T T T"
Br 1.223 -0.192 6.552
Br 0.783 -0.634 10.612
Br 7.935 -2.150 7.067
Br 1.257 -3.943 8.225
Br 7.495 -2.592 11.126
Br 4.076 -2.237 12.976
Br 7.461 1.159 9.454
Br 4.642 -0.547 4.703
Ba 0.000 0.000 0.000
Cs 4.359 -1.392 8.839
Al 6.415 -2.095 13.245
Al 2.304 -0.688 4.434
```

Properties
SG: R-3 (148)
energy relative to the elements, uncorrected: -1345 meV/atom